A plane-wave DFT calculation with PBE was carried out for a geometry-optimized Ac2HfTl3S6 structure.

Its density of states at the Fermi level is 3.501 states/eV/f.u. As for the space group: No. 12. As for the formation energy from raw total energies: -15.79 eV per formula unit. The calculation puts the volume at 29.5 Å³ per atom. The value obtained for the total DFT energy (no corrections) is -65.82 eV/cell.

The structure in POSCAR format:
```
Ac2HfTl3S6
1.0
3.6470 -6.2610 0.0000
3.6470 6.2610 0.0000
-3.1070 0.0000 7.7414
Ac Hf Tl S
2 1 3 6
direct
0.1656 0.8344 0.0000
0.8344 0.1656 0.0000
0.5000 0.5000 0.0000
0.0000 0.0000 0.5000
0.3319 0.6681 0.5000
0.6681 0.3319 0.5000
0.1265 0.4204 0.8107
0.2978 0.2978 0.1979
0.4204 0.1265 0.8107
0.5796 0.8735 0.1893
0.7022 0.7022 0.8021
0.8735 0.5796 0.1893
```